# PaMnTlO4

A geometry-optimized PaMnTlO4 structure (PBE with a Hubbard U, the Alexandria database).

Cell: 7.064 7.064 7.064 Å, 123.04 118.29 88.91°
Sites, in units of the cell vectors:
Pa1 0.000 0.000 0.000
Pa2 0.500 0.000 0.500
Mn1 0.500 0.000 0.000
Mn2 0.500 0.500 0.500
Tl1 0.096 0.346 0.750
Tl2 0.904 0.654 0.250
O1 0.252 0.199 0.447
O2 0.252 0.805 0.053
O3 0.265 0.208 0.057
O4 0.349 0.792 0.557
O5 0.651 0.208 0.443
O6 0.735 0.792 0.943
O7 0.748 0.195 0.947
O8 0.748 0.801 0.553

Energy: -7.905 eV/atom
Crystal system: orthorhombic